# AcMg2Ga6 | Alexandria | PBE-GGA | relaxed
data_AcMg2Ga6
_chemical_formula_sum 'Ac1 Mg2 Ga6'
_cell_length_a 8.0246
_cell_length_b 8.0246
_cell_length_c 3.5157
_cell_angle_alpha 90.00
_cell_angle_beta 90.00
_cell_angle_gamma 120.00
_symmetry_space_group_name_H-M 'P 6/m m m'
_symmetry_Int_Tables_number 191
_symmetry_space_group_name_Hall '-P 6 2'
loop_
_atom_site_label
_atom_site_fract_x
_atom_site_fract_y
_atom_site_fract_z
_atom_site_occupancy
Ac1 0.0000 0.0000 0.0000 1
Mg1 0.3333 0.6667 0.0000 1
Ga1 0.0000 0.3434 0.5000 1
# - E above lowest polymorph (eV per atom) = 0.077

# AcMgGa | Alexandria | PBE-GGA | relaxed
data_AcMgGa
_chemical_formula_sum 'Ac4 Mg4 Ga4'
_cell_length_a 6.4499
_cell_length_b 6.3448
_cell_length_c 9.4103
_cell_angle_alpha 90.00
_cell_angle_beta 109.91
_cell_angle_gamma 90.00
_symmetry_space_group_name_H-M 'C 1 2/m 1'
_symmetry_Int_Tables_number 12
_symmetry_space_group_name_Hall '-C 2y'
loop_
_atom_site_label
_atom_site_fract_x
_atom_site_fract_y
_atom_site_fract_z
_atom_site_occupancy
Ac1 0.1740 0.0000 0.3495 1
Mg1 0.2410 0.5000 0.0000 1
Ga1 0.1337 0.5000 0.2693 1
# - E above lowest polymorph (eV per atom) = 0.250

# Ac3Mg2Ga3 | Alexandria | PBE-GGA | relaxed
data_Ac3Mg2Ga3
_chemical_formula_sum 'Ac12 Mg8 Ga12'
_cell_length_a 4.7154
_cell_length_b 12.4248
_cell_length_c 15.7334
_cell_angle_alpha 90.00
_cell_angle_beta 90.00
_cell_angle_gamma 90.00
_symmetry_space_group_name_H-M 'C m c m'
_symmetry_Int_Tables_number 63
_symmetry_space_group_name_Hall '-C 2c 2'
loop_
_atom_site_label
_atom_site_fract_x
_atom_site_fract_y
_atom_site_fract_z
_atom_site_occupancy
Ac1 0.0000 0.0670 0.1165 1
Ac2 0.0000 0.3513 0.2500 1
Mg1 0.0000 0.2218 0.5763 1
Ga1 0.0000 0.3341 0.7500 1
Ga2 0.0000 0.4016 0.0432 1
# - E above lowest polymorph (eV per atom) = 0.000

# AcMg2Ga6 | Alexandria | PBE-GGA | relaxed
data_AcMg2Ga6
_chemical_formula_sum 'Ac2 Mg4 Ga12'
_cell_length_a 4.3088
_cell_length_b 7.3951
_cell_length_c 12.3075
_cell_angle_alpha 90.00
_cell_angle_beta 90.00
_cell_angle_gamma 90.00
_symmetry_space_group_name_H-M 'I m m m'
_symmetry_Int_Tables_number 71
_symmetry_space_group_name_Hall '-I 2 2'
loop_
_atom_site_label
_atom_site_fract_x
_atom_site_fract_y
_atom_site_fract_z
_atom_site_occupancy
Ac1 0.0000 0.0000 0.0000 1
Mg1 0.0000 0.5000 0.1169 1
Ga1 0.0000 0.1714 0.5000 1
Ga2 0.0000 0.3060 0.3056 1
# - E above lowest polymorph (eV per atom) = 0.000

Compound: Ac2Mg15Ga2
Source: Alexandria
Functional: PBE-GGA
Structure: relaxed

Geometry as CIF:
```
data_Ac2Mg15Ga2
_chemical_formula_sum 'Ac6 Mg45 Ga6'
_cell_length_a 10.3580
_cell_length_b 10.3580
_cell_length_c 15.0965
_cell_angle_alpha 90.00
_cell_angle_beta 90.00
_cell_angle_gamma 120.00
_symmetry_space_group_name_H-M 'R -3 m'
_symmetry_Int_Tables_number 166
_symmetry_space_group_name_Hall '-R 3 2"'
loop_
_atom_site_label
_atom_site_fract_x
_atom_site_fract_y
_atom_site_fract_z
_atom_site_occupancy
Ac1 0.0000 0.0000 0.1752 1
Mg1 0.0000 0.2968 0.5000 1
Mg2 0.0000 0.5000 0.0000 1
Mg3 0.0053 0.5026 0.6538 1
Ga1 0.0000 0.0000 0.4061 1
```

# AcMg4Ga | Alexandria | PBE-GGA | relaxed
data_AcMg4Ga
_chemical_formula_sum 'Ac2 Mg8 Ga2'
_cell_length_a 8.4544
_cell_length_b 4.5627
_cell_length_c 8.0066
_cell_angle_alpha 90.00
_cell_angle_beta 90.00
_cell_angle_gamma 90.00
_symmetry_space_group_name_H-M 'P m m a'
_symmetry_Int_Tables_number 51
_symmetry_space_group_name_Hall '-P 2a 2a'
loop_
_atom_site_label
_atom_site_fract_x
_atom_site_fract_y
_atom_site_fract_z
_atom_site_occupancy
Ac1 0.2500 0.0000 0.1175 1
Mg1 0.0000 0.0000 0.5000 1
Mg2 0.0609 0.5000 0.8026 1
Mg3 0.2500 0.5000 0.4556 1
Ga1 0.2500 0.0000 0.7174 1
# - E above lowest polymorph (eV per atom) = 0.000

Compound: AcMg2Ga3
Source: Alexandria
Functional: PBE-GGA
Structure: relaxed

Geometry as CIF:
```
data_AcMg2Ga3
_chemical_formula_sum 'Ac4 Mg8 Ga12'
_cell_length_a 10.5008
_cell_length_b 8.4311
_cell_length_c 6.3786
_cell_angle_alpha 90.00
_cell_angle_beta 90.00
_cell_angle_gamma 90.00
_symmetry_space_group_name_H-M 'C m c m'
_symmetry_Int_Tables_number 63
_symmetry_space_group_name_Hall '-C 2c 2'
loop_
_atom_site_label
_atom_site_fract_x
_atom_site_fract_y
_atom_site_fract_z
_atom_site_occupancy
Ac1 0.0000 0.1732 0.2500 1
Mg1 0.2159 0.5000 0.0000 1
Ga1 0.0000 0.4507 0.7500 1
Ga2 0.1337 0.1928 0.7500 1
```

# AcMgGa | Alexandria | PBE-GGA | relaxed
data_AcMgGa
_chemical_formula_sum 'Ac3 Mg3 Ga3'
_cell_length_a 7.7973
_cell_length_b 7.7973
_cell_length_c 4.7822
_cell_angle_alpha 90.00
_cell_angle_beta 90.00
_cell_angle_gamma 120.00
_symmetry_space_group_name_H-M 'P -6 2 m'
_symmetry_Int_Tables_number 189
_symmetry_space_group_name_Hall 'P -6 -2'
loop_
_atom_site_label
_atom_site_fract_x
_atom_site_fract_y
_atom_site_fract_z
_atom_site_occupancy
Ac1 0.0000 0.5773 0.0000 1
Mg1 0.0000 0.2396 0.5000 1
Ga1 0.0000 0.0000 0.0000 1
Ga2 0.3333 0.6667 0.5000 1
# - E above lowest polymorph (eV per atom) = 0.000

# AcMgGa4 | Alexandria | PBE-GGA | relaxed
data_AcMgGa4
_chemical_formula_sum 'Ac1 Mg1 Ga4'
_cell_length_a 4.5838
_cell_length_b 4.5838
_cell_length_c 7.2306
_cell_angle_alpha 90.00
_cell_angle_beta 90.00
_cell_angle_gamma 120.00
_symmetry_space_group_name_H-M 'P 6/m m m'
_symmetry_Int_Tables_number 191
_symmetry_space_group_name_Hall '-P 6 2'
loop_
_atom_site_label
_atom_site_fract_x
_atom_site_fract_y
_atom_site_fract_z
_atom_site_occupancy
Ac1 0.0000 0.0000 0.0000 1
Mg1 0.0000 0.0000 0.5000 1
Ga1 0.3333 0.6667 0.2996 1
# - E above lowest polymorph (eV per atom) = 0.000

# Ac2Mg5Ga3 | Alexandria | PBE-GGA | relaxed
data_Ac2Mg5Ga3
_chemical_formula_sum 'Ac2 Mg5 Ga3'
_cell_length_a 4.5551
_cell_length_b 4.5551
_cell_length_c 12.3783
_cell_angle_alpha 90.00
_cell_angle_beta 90.00
_cell_angle_gamma 90.00
_symmetry_space_group_name_H-M 'P -4 m 2'
_symmetry_Int_Tables_number 115
_symmetry_space_group_name_Hall 'P -4 -2'
loop_
_atom_site_label
_atom_site_fract_x
_atom_site_fract_y
_atom_site_fract_z
_atom_site_occupancy
Ac1 0.0000 0.5000 0.2218 1
Mg1 0.0000 0.0000 0.5000 1
Mg2 0.0000 0.5000 0.6545 1
Mg3 0.5000 0.5000 0.0000 1
Mg4 0.5000 0.5000 0.5000 1
Ga1 0.0000 0.0000 0.0000 1
Ga2 0.0000 0.5000 0.8726 1
# - E above lowest polymorph (eV per atom) = 0.036

Compound: AcMg6Ga2
Source: Alexandria
Functional: PBE-GGA
Structure: relaxed

Geometry as CIF:
```
data_AcMg6Ga2
_chemical_formula_sum 'Ac1 Mg6 Ga2'
_cell_length_a 4.5713
_cell_length_b 4.5713
_cell_length_c 10.1897
_cell_angle_alpha 90.00
_cell_angle_beta 90.00
_cell_angle_gamma 90.00
_symmetry_space_group_name_H-M 'P 4/m m m'
_symmetry_Int_Tables_number 123
_symmetry_space_group_name_Hall '-P 4 2'
loop_
_atom_site_label
_atom_site_fract_x
_atom_site_fract_y
_atom_site_fract_z
_atom_site_occupancy
Ac1 0.0000 0.0000 0.0000 1
Mg1 0.0000 0.0000 0.5000 1
Mg2 0.0000 0.5000 0.2845 1
Mg3 0.5000 0.5000 0.5000 1
Ga1 0.5000 0.5000 0.1256 1
```

Compound: Ac6MgGa2
Source: Alexandria
Functional: PBE-GGA
Structure: relaxed

Geometry as CIF:
```
data_Ac6MgGa2
_chemical_formula_sum 'Ac24 Mg4 Ga8'
_cell_length_a 10.7522
_cell_length_b 10.8482
_cell_length_c 11.5361
_cell_angle_alpha 90.00
_cell_angle_beta 90.00
_cell_angle_gamma 90.00
_symmetry_space_group_name_H-M 'I m m m'
_symmetry_Int_Tables_number 71
_symmetry_space_group_name_Hall '-I 2 2'
loop_
_atom_site_label
_atom_site_fract_x
_atom_site_fract_y
_atom_site_fract_z
_atom_site_occupancy
Ac1 0.0000 0.1975 0.2440 1
Ac2 0.1972 0.5000 0.1747 1
Ac3 0.2237 0.3222 0.5000 1
Mg1 0.0000 0.0000 0.0000 1
Mg2 0.0000 0.0000 0.5000 1
Ga1 0.0000 0.3440 0.0000 1
Ga2 0.0000 0.5000 0.3854 1
```

Formation energy from the elements in eV/atom, matching the order above: -0.1958 -0.1693 -0.4154 -0.2728 -0.1005 -0.1704 -0.3255 -0.4189 -0.4097 -0.2658 -0.2421 -0.2225